{"formula": "Ti2TcBi", "functional": "PBE-GGA", "state": "optimized geometry", "formation_enthalpy_0k_ev_per_atom": -0.18, "cell": [[3.183, 0.000, 0.000], [0.000, 3.183, 0.000], [0.000, 0.000, 7.653]], "species": ["Ti", "Ti", "Tc", "Bi"], "fractional_positions": [[0.000, 0.000, 0.187], [0.000, 0.000, 0.813], [0.500, 0.500, 0.000], [0.500, 0.500, 0.500]]}